# 1
Density functional theory data (PBE) for a relaxed structure of AlTlRu3.

Summary:
Offset from the most stable computed form: 6.10 eV per formula unit
ΔH_f (0 K): 2.178 eV/atom

a b c (Å): 4.928 4.928 4.928
angles (deg): 90.00 90.00 90.00
Space group Pm-3m (No. 221)
Symmetry-distinct sites (fractional):
Al  0.000  0.000  0.000 (multiplicity 1)
Tl  0.500  0.500  0.500 (multiplicity 1)
Ru  0.000  0.500  0.500 (multiplicity 3)

# 2
Density functional theory data (PBE) for a relaxed structure of UTaFe2H6.

Summary:
Electronic total energy: -6.20 eV per atom

a b c (Å): 4.3148 4.3148 15.4987
angles (deg): 90.00 90.00 120.00
Space group R-3m (No. 166, hexagonal axes)
Symmetry-distinct sites (fractional):
U  0.0000  0.0000  0.0000 (multiplicity 3)
Ta  0.0000  0.0000  0.5000 (multiplicity 3)
Fe  0.0000  0.0000  0.2079 (multiplicity 6)
H  0.0139  0.5069  0.0628 (multiplicity 18)

# 3
Density functional theory data (PBE) for a relaxed structure of NdErTm3.

Summary:
Offset from the most stable computed form: 0.00 eV per formula unit
ΔH_f (0 K): 0.024 eV/atom

a b c (Å): 6.118 7.051 7.885
angles (deg): 77.01 75.04 73.22
Space group P-1 (No. 2)
Symmetry-distinct sites (fractional):
Nd  0.199  0.050  0.101 (multiplicity 2)
Er  0.398  0.352  0.698 (multiplicity 2)
Tm  0.000  0.252  0.500 (multiplicity 2)
Tm  0.201  0.548  0.102 (multiplicity 2)
Tm  0.401  0.849  0.698 (multiplicity 2)

# 4
Density functional theory data (PBE) for a relaxed structure of Tb10PmDy4.

Summary:
ΔH_f (0 K): 0.338 eV/atom

a b c (Å): 9.688 9.688 10.541
angles (deg): 90.00 90.00 90.00
Space group I4/m (No. 87)
Symmetry-distinct sites (fractional):
Tb  0.000  0.500  0.250 (multiplicity 4)
Tb  0.114  0.787  0.158 (multiplicity 16)
Pm  0.000  0.000  0.500 (multiplicity 2)
Dy  0.067  0.665  0.500 (multiplicity 8)

# 5
Density functional theory data (PBE) for a relaxed structure of Tb3Pr3Hg2.

Summary:
ΔH_f (0 K): -0.182 eV/atom

a b c (Å): 5.256 11.955 16.058
angles (deg): 90.00 90.00 90.00
Space group Cmcm (No. 63)
Symmetry-distinct sites (fractional):
Tb  0.000  0.072  0.250 (multiplicity 4)
Tb  0.000  0.141  0.534 (multiplicity 8)
Pr  0.000  0.213  0.750 (multiplicity 4)
Pr  0.000  0.461  0.609 (multiplicity 8)
Hg  0.000  0.269  0.125 (multiplicity 8)